#one
NiRu3Cl (PBE, optimized geometry); magnetization = 8.04 μB per formula unit; calculated density = 6.78 g/cm³
1.0
-1.2699 3.7745 -2.3017
-4.1717 -0.2304 1.9237
1.4633 2.6186 3.4869
Ru Ni Cl
3 1 1
direct
0.0000 0.5000 0.0000 Ru
0.5000 0.0000 0.0000 Ru
0.0000 0.0000 0.5000 Ru
0.0000 0.0000 0.0000 Ni
0.5000 0.5000 0.5000 Cl

#two
NiRu3Cl (PBE, optimized geometry); magnetization = 2.78 μB per formula unit; calculated density = 8.27 g/cm³
1.0
-1.0479 -2.2285 -3.5309
0.6200 -3.6831 2.1405
-4.1290 0.0125 1.2175
Ru Ni Cl
3 1 1
direct
0.5000 0.0000 0.0000 Ru
0.0000 0.5000 0.0000 Ru
0.0000 0.0000 0.5000 Ru
0.5000 0.5000 0.5000 Ni
0.0000 0.0000 0.0000 Cl

Energy comparison, zero being the most stable, in eV/atom: #one 0.337; #two 0.000.

#one
NiRu2Cl2 (PBE, optimized geometry); magnetization = 0.40 μB per formula unit; calculated density = 7.03 g/cm³
1.0
4.7915 0.0000 0.0000
0.0000 4.7915 0.0000
2.3958 2.3958 3.4153
Cl Ru Ni
2 2 1
direct
0.6948 0.6948 0.6103 Cl
0.3052 0.3052 0.3897 Cl
0.7500 0.2500 0.5000 Ru
0.2500 0.7500 0.5000 Ru
0.0000 0.0000 0.0000 Ni

#two
NiRu2Cl2 (PBE, optimized geometry); magnetization = 2.57 μB per formula unit; calculated density = 7.31 g/cm³
1.0
-1.8463 0.7968 6.9539
-2.9512 -6.6099 -0.0262
2.5210 -1.1288 0.7987
Ni Ru Cl
2 4 4
direct
0.5000 0.5000 0.0000 Ni
0.0000 0.0000 0.0000 Ni
0.6804 0.8196 0.5000 Ru
0.3196 0.1804 0.5000 Ru
0.8196 0.3196 0.5000 Ru
0.1804 0.6804 0.5000 Ru
0.3618 0.8618 0.0000 Cl
0.8618 0.6382 0.0000 Cl
0.1382 0.3618 0.0000 Cl
0.6382 0.1382 0.0000 Cl

Energy comparison, zero being the most stable, in eV/atom: #one 0.000; #two 0.120.

#one
NiRuSCl2 (PBE, optimized geometry); magnetization = 0.92 μB per formula unit; calculated density = 4.06 g/cm³
1.0
4.9635 0.0000 0.0000
0.0000 4.9635 0.0000
0.0000 0.0000 4.3571
Cl S Ni Ru
2 1 1 1
direct
0.0000 0.5000 0.0000 Cl
0.5000 0.0000 0.0000 Cl
0.0000 0.0000 0.5000 S
0.5000 0.5000 0.5000 Ni
0.0000 0.0000 0.0000 Ru

#two
NiRuSCl2 (PBE, optimized geometry); magnetization = 3.87 μB per formula unit; calculated density = 4.61 g/cm³
1.0
4.5087 0.0000 0.0000
0.0000 4.5087 0.0000
0.0000 0.0000 4.6552
Ni Cl S Ru
1 2 1 1
direct
0.0000 0.0000 0.0000 Ni
0.0000 0.5000 0.0000 Cl
0.5000 0.0000 0.0000 Cl
0.0000 0.0000 0.5000 S
0.5000 0.5000 0.5000 Ru

Energy comparison, zero being the most stable, in eV/atom: #one 0.000; #two 0.093.